Cs2PtPbI6: relaxed, PBE.

Cell lengths 8.471, 8.471, 8.490 Å; angles 60.07, 60.07, 90.00 degrees
Sites, in units of the cell vectors:
I 0.734 0.266 0.000
I 0.266 0.734 0.000
I 0.734 0.734 0.000
I 0.265 0.265 0.471
I 0.266 0.266 0.000
I 0.735 0.735 0.529
Cs 0.250 0.750 0.500
Cs 0.750 0.250 0.500
Pt 0.500 0.500 0.000
Pb 0.000 0.000 0.000

## Properties
The calculation puts the energy relative to the elements, uncorrected at -0.78 eV/atom. The value obtained for the density of states at the Fermi level is 4.41 states/eV per cell.


Cs2PtPbI: relaxed, PBE.

Cell lengths 6.859, 6.859, 5.184 Å; angles 90.00, 90.00, 90.00 degrees
Sites, in units of the cell vectors:
Cs 0.500 0.000 0.000
Cs 0.000 0.500 0.000
Pt 0.000 0.000 0.000
Pb 0.000 0.000 0.500
I 0.500 0.500 0.500

## Properties
The calculation puts the energy relative to the elements, uncorrected at -0.52 eV/atom. The value obtained for the density of states at the Fermi level is 2.42 states/eV per cell.


CsPu2PbI8: relaxed, PBE.

Cell lengths 8.009, 7.556, 9.766 Å; angles 89.82, 90.16, 88.77 degrees
Sites, in units of the cell vectors:
I 0.831 0.272 0.218
I 0.352 0.257 0.000
I 0.169 0.728 0.782
I 0.168 0.727 0.220
I 0.613 0.730 0.500
I 0.832 0.273 0.780
I 0.648 0.743 0.000
I 0.387 0.270 0.500
Cs 0.000 0.000 0.500
Pu 0.500 0.500 0.244
Pu 0.500 0.500 0.756
Pb 0.000 0.000 0.000

## Properties
The calculation puts the energy relative to the elements, uncorrected at -1.01 eV/atom. The value obtained for the density of states at the Fermi level is 33.03 states/eV per cell.


Cs4PuPb3I12: relaxed, PBE.

Cell lengths 11.058, 11.058, 11.058 Å; angles 109.47, 109.47, 109.47 degrees
Sites, in units of the cell vectors:
I 0.250 0.500 0.750
I 0.750 0.500 0.250
I 0.750 0.250 0.500
I 0.250 0.750 0.500
I 0.500 0.750 0.250
I 0.753 0.000 0.753
I 0.247 0.000 0.247
I 0.753 0.753 0.000
I 0.000 0.753 0.753
I 0.000 0.247 0.247
I 0.247 0.247 0.000
I 0.500 0.250 0.750
Cs 0.500 0.000 0.000
Cs 0.500 0.500 0.500
Cs 0.000 0.500 0.000
Cs 0.000 0.000 0.500
Pu 0.000 0.000 0.000
Pb 0.000 0.500 0.500
Pb 0.500 0.000 0.500
Pb 0.500 0.500 0.000

## Properties
The calculation puts the energy relative to the elements, uncorrected at -1.05 eV/atom. The value obtained for the density of states at the Fermi level is 24.64 states/eV per cell.


Cs3PuPb2I9: relaxed, PBE.

Cell lengths 9.039, 9.039, 11.045 Å; angles 90.00, 90.00, 120.00 degrees
Sites, in units of the cell vectors:
I 0.000 0.500 0.000
I 0.500 0.500 0.000
I 0.500 0.000 0.000
I 0.673 0.836 0.335
I 0.836 0.673 0.665
I 0.836 0.164 0.665
I 0.164 0.836 0.335
I 0.164 0.327 0.335
I 0.327 0.164 0.665
Pb 0.333 0.667 0.168
Pb 0.667 0.333 0.832
Pu 0.000 0.000 0.500
Cs 0.667 0.333 0.314
Cs 0.333 0.667 0.686
Cs 0.000 0.000 0.000

## Properties
The calculation puts the energy relative to the elements, uncorrected at -1.07 eV/atom. The value obtained for the density of states at the Fermi level is 21.94 states/eV per cell.


CsPuPb2I8: relaxed, PBE.

Cell lengths 7.871, 7.552, 10.019 Å; angles 89.74, 89.80, 88.96 degrees
Sites, in units of the cell vectors:
I 0.154 0.740 0.209
I 0.846 0.260 0.791
I 0.395 0.264 0.502
I 0.673 0.760 0.000
I 0.605 0.736 0.498
I 0.156 0.742 0.792
I 0.844 0.258 0.208
I 0.327 0.240 0.000
Cs 0.000 0.000 0.500
Pb 0.500 0.500 0.249
Pb 0.500 0.500 0.751
Pu 0.000 0.000 0.000

## Properties
The calculation puts the energy relative to the elements, uncorrected at -0.88 eV/atom. The value obtained for the density of states at the Fermi level is 10.51 states/eV per cell.


Cs2RbPb2I7: relaxed, PBE.

Cell lengths 6.366, 6.366, 16.558 Å; angles 78.88, 78.88, 89.98 degrees
Sites, in units of the cell vectors:
I 0.598 0.096 0.809
I 0.500 0.500 0.000
I 0.304 0.304 0.403
I 0.402 0.904 0.191
I 0.904 0.402 0.191
I 0.696 0.696 0.597
I 0.096 0.598 0.809
Rb 0.000 0.000 0.000
Cs 0.185 0.185 0.644
Cs 0.815 0.815 0.356
Pb 0.603 0.603 0.796
Pb 0.397 0.397 0.204

## Properties
The calculation puts the energy relative to the elements, uncorrected at -1.07 eV/atom. The value obtained for the density of states at the Fermi level is 0.00 states/eV per cell.


Cs2RbPbI5: relaxed, PBE.

Cell lengths 6.216, 8.870, 10.781 Å; angles 114.29, 106.76, 90.00 degrees
Sites, in units of the cell vectors:
I 0.625 0.381 0.251
I 0.000 0.000 0.000
I 0.375 0.130 0.749
I 0.625 0.870 0.251
I 0.375 0.619 0.749
Cs 0.203 0.203 0.407
Cs 0.797 0.797 0.593
Pb 0.500 0.000 0.000
Rb 0.000 0.500 0.000

## Properties
The calculation puts the energy relative to the elements, uncorrected at -1.20 eV/atom. The value obtained for the density of states at the Fermi level is 0.00 states/eV per cell.